Entry 1:
! Pr7S6Cl9 | Alexandria via LeMat-Bulk | meta-GGA SCAN | single point on PBEsol structure; values from VASP
! **E_form (uncorrected)**: -54.7 eV/f.u.
! **Magnetization**: 0.0 Bohr magnetons per cell
! **V**: 1115.5 Å³/cell
&SYSTEM
  ibrav = 0, nat = 44, ntyp = 3
/
ATOMIC_SPECIES
S 32.06 S.upf
Pr 140.91 Pr.upf
Cl 35.45 Cl.upf
CELL_PARAMETERS angstrom
-5.8354 -1.5596 -2.8786
-0.7860 -5.2646 4.4456
-11.0688 17.1120 13.1672
ATOMIC_POSITIONS angstrom
S -7.7831 4.3646 6.1993
S -9.0917 8.6684 6.5204
S -4.3903 0.0394 1.9172
S -11.6574 8.1579 10.6037
S -8.5984 1.6194 8.2138
S -9.9071 5.9232 8.5349
S -13.2998 10.2484 12.8170
S -7.0496 -0.6692 6.0455
S -10.6405 10.9570 8.6887
S -5.3949 -2.7564 3.8383
S -12.2952 13.0442 10.8959
S -6.0327 2.1298 4.1304
Pr -6.5388 1.8671 1.4228
Pr -9.1890 8.5559 9.2854
Pr -7.7905 4.1621 9.0957
Pr -5.8047 4.9798 4.3623
Pr -14.4422 14.6459 10.1349
Pr -5.4291 -2.4138 1.1066
Pr -9.8997 6.1257 5.6385
Pr -11.1513 8.4207 13.3114
Pr -13.0429 10.4425 9.9616
Pr -12.2610 12.7016 13.6276
Pr -11.8855 5.3080 10.3718
Pr -3.2479 -4.3581 4.5993
Pr -4.6472 -0.1547 4.7726
Pr -8.5012 1.7318 5.4488
Cl -6.8017 7.1619 9.2468
Cl -7.6952 -0.8360 1.7396
Cl -1.7790 -2.4576 3.0782
Cl -2.7997 -2.0119 -0.1727
Cl -14.5068 12.4452 8.3522
Cl -9.9949 11.1238 12.9946
Cl -11.8642 11.2997 16.0690
Cl -3.1833 -2.1574 6.3820
Cl -3.8217 -4.8123 1.7397
Cl -5.1562 7.1851 5.8985
Cl -4.4028 1.1250 7.3090
Cl -5.8259 -1.0119 -1.3348
Cl -13.2873 9.1628 7.4251
Cl -10.8884 3.1258 5.4874
Cl -15.9111 12.7454 11.6560
Cl -9.0898 2.3996 2.5803
Cl -12.5340 3.1026 8.8357
Cl -8.6003 7.8882 12.1539

Entry 2:
! PrSCl | Alexandria via LeMat-Bulk | meta-GGA SCAN | single point on PBEsol structure; values from VASP
! **E_form (uncorrected)**: -7.3 eV/f.u.
! **Magnetization**: 0.0 Bohr magnetons per cell
! **V**: 1917.6 Å³/cell
&SYSTEM
  ibrav = 0, nat = 72, ntyp = 3
/
ATOMIC_SPECIES
S 32.06 S.upf
Cl 35.45 Cl.upf
Pr 140.91 Pr.upf
CELL_PARAMETERS angstrom
-2.5695 -1.9710 -5.9763
-4.6849 -3.8222 3.2749
-25.7164 31.9627 0.5157
ATOMIC_POSITIONS angstrom
S -23.1812 14.3788 -2.1710
S -25.3080 17.0080 -2.1715
S -20.9217 11.7245 -2.3498
S -10.2731 2.8026 -3.9510
S -9.7897 11.7907 -0.0147
S -7.6629 9.1615 -0.0142
S -6.0728 -2.6327 -3.9992
S -12.3838 5.4259 -3.9086
S -24.8419 25.9821 1.7768
S -16.1776 15.4778 1.5985
S -22.6978 23.3669 1.7652
S -3.4399 3.8986 -0.1420
S -16.7933 10.6917 -3.7842
S -8.1290 0.1874 -3.9625
S -5.5522 6.5381 -0.0565
S -12.0492 14.4450 0.1641
S -18.4921 18.0900 1.6495
S -31.6422 25.0489 -2.1348
S -26.8981 28.8022 1.8135
S -20.5871 20.7436 1.7229
S -14.4788 8.0795 -3.8352
S -29.5310 22.2709 -2.0437
S -27.4187 19.6314 -2.1292
S -1.3287 1.1206 -0.0509
Cl -10.9710 1.7645 -0.0218
Cl -17.6386 10.2345 0.0508
Cl -15.3323 15.9350 -2.2365
Cl -4.9356 2.1238 -2.8251
Cl -8.4348 3.8242 -1.2088
Cl -10.9491 6.9491 -1.1584
Cl -21.9999 24.4050 -2.1639
Cl -7.0247 0.4071 -0.5983
Cl -13.4852 4.8894 0.0286
Cl -15.1019 12.2946 -1.1350
Cl -25.9462 25.7624 -1.5875
Cl -17.8690 13.8749 -1.0507
Cl -11.8857 10.7620 -2.6857
Cl -22.0218 19.2204 -1.0274
Cl -6.6399 -3.4356 -0.1697
Cl -28.8676 27.5450 -0.8302
Cl -4.1033 -1.3755 -1.3555
Cl -26.3310 29.6051 -2.0160
Cl -13.9748 9.0452 -0.4589
Cl -28.0353 24.0457 0.6393
Cl -21.0852 15.4075 0.5000
Cl -18.9961 17.1243 -1.7268
Cl -19.4857 21.2801 -2.2144
Cl -24.5361 22.3453 -0.9769
Pr -12.2319 3.3573 -2.0648
Pr -20.7390 22.8122 -0.1210
Pr -11.7087 8.1767 -3.8311
Pr -24.6444 19.7023 -2.1185
Pr -7.9917 -1.9760 -2.1112
Pr -25.5302 23.2974 1.7310
Pr -16.0454 13.4795 -3.6121
Pr -21.2622 17.9928 1.6454
Pr -12.5202 7.4399 1.3670
Pr -4.0673 -3.2913 1.1686
Pr -16.9255 12.6900 1.4264
Pr -24.7187 24.0342 -3.4672
Pr -12.6396 11.7410 0.0302
Pr -4.0982 1.1249 -0.1411
Pr -28.8727 25.0446 -2.0447
Pr -16.5332 8.6401 -1.9399
Pr -16.4377 17.5294 -0.2458
Pr -20.3313 14.4285 -2.2159
Pr -8.3265 6.4672 -0.0672
Pr -24.9791 28.1455 -0.0745
Pr -7.4407 2.8721 -3.9167
Pr -3.1872 -2.5019 -3.8700
Pr -20.4507 18.7296 -3.5528
Pr -8.2522 2.1353 1.2814